No. 1
Density functional theory data (PBE-GGA) for a relaxed structure of Li2ZnHg.

Size of the total moment   0.000 μB/atom
Energy of formation from the pure elements   -1.02 eV/f.u.

Cell lengths 4.484, 4.484, 3.321 Å; angles 90.00, 90.00, 90.00 degrees
Fractional positions:
Li: 0.000 0.500 0.000
Li: 0.500 0.000 0.000
Zn: 0.000 0.000 0.500
Hg: 0.500 0.500 0.500

=====

No. 2
Density functional theory data (PBE-GGA) for a relaxed structure of Li7Zn3Hg.

Size of the total moment   0.000 μB/atom
Energy of formation from the pure elements   -1.36 eV/f.u.

Cell lengths 11.434, 11.434, 11.724 Å; angles 90.00, 90.00, 165.25 degrees
Fractional positions:
Li: 0.059 0.941 0.624
Li: 0.059 0.941 0.876
Li: 0.095 0.905 0.101
Li: 0.095 0.905 0.399
Li: 0.178 0.822 0.750
Li: 0.227 0.773 0.105
Li: 0.227 0.773 0.395
Li: 0.773 0.227 0.605
Li: 0.773 0.227 0.895
Li: 0.822 0.178 0.250
Li: 0.905 0.095 0.601
Li: 0.905 0.095 0.899
Li: 0.941 0.059 0.124
Li: 0.941 0.059 0.376
Zn: 0.341 0.659 0.750
Zn: 0.343 0.657 0.049
Zn: 0.343 0.657 0.451
Zn: 0.657 0.343 0.549
Zn: 0.657 0.343 0.951
Zn: 0.659 0.341 0.250
Hg: 0.475 0.525 0.750
Hg: 0.525 0.475 0.250

=====

No. 3
Density functional theory data (PBE-GGA) for a relaxed structure of Li3Zn2Hg2.

Size of the total moment   0.000 μB/atom
Energy of formation from the pure elements   -1.14 eV/f.u.

Cell lengths 4.558, 2.879, 9.598 Å; angles 90.00, 103.44, 90.00 degrees
Fractional positions:
Li: 0.000 0.000 0.000
Li: 0.287 0.000 0.576
Li: 0.713 0.000 0.424
Zn: 0.431 0.000 0.860
Zn: 0.569 0.000 0.140
Hg: 0.148 0.500 0.296
Hg: 0.852 0.500 0.704

=====

No. 4
Density functional theory data (PBE-GGA) for a relaxed structure of Li5Zn3Hg3.

Size of the total moment   0.000 μB/atom
Energy of formation from the pure elements   -1.11 eV/f.u.

Cell lengths 9.139, 9.139, 3.005 Å; angles 90.00, 90.00, 120.00 degrees
Fractional positions:
Li: 0.000 0.336 0.000
Li: 0.333 0.667 0.000
Li: 0.336 0.000 0.000
Li: 0.664 0.664 0.000
Li: 0.667 0.333 0.000
Zn: 0.000 0.839 0.000
Zn: 0.161 0.161 0.000
Zn: 0.839 0.000 0.000
Hg: 0.000 0.586 0.500
Hg: 0.414 0.414 0.500
Hg: 0.586 0.000 0.500

=====

No. 5
Density functional theory data (PBE-GGA) for a relaxed structure of Li12Zn6Hg.

Energy above the lowest structure with this stoichiometry   0 meV/atom
Size of the total moment   0.000 μB/atom
Energy of formation from the pure elements   -3.23 eV/f.u.

Cell lengths 7.491, 7.491, 7.491 Å; angles 111.20, 111.20, 111.20 degrees
Fractional positions:
Li: 0.020 0.290 0.180
Li: 0.180 0.020 0.290
Li: 0.241 0.615 0.667
Li: 0.290 0.180 0.020
Li: 0.333 0.759 0.385
Li: 0.385 0.333 0.759
Li: 0.615 0.667 0.241
Li: 0.667 0.241 0.615
Li: 0.710 0.820 0.980
Li: 0.759 0.385 0.333
Li: 0.820 0.980 0.710
Li: 0.980 0.710 0.820
Zn: 0.073 0.860 0.534
Zn: 0.140 0.466 0.927
Zn: 0.466 0.927 0.140
Zn: 0.534 0.073 0.860
Zn: 0.860 0.534 0.073
Zn: 0.927 0.140 0.466
Hg: 0.500 0.500 0.500

=====

No. 6
Density functional theory data (PBE-GGA) for a relaxed structure of Li3Zn2Hg4.

Energy above the lowest structure with this stoichiometry   0 meV/atom
Size of the total moment   0.000 μB/atom
Energy of formation from the pure elements   -1.97 eV/f.u.

Cell lengths 4.805, 4.805, 8.754 Å; angles 94.91, 94.91, 57.87 degrees
Fractional positions:
Li: 0.000 0.000 0.000
Li: 0.367 0.367 0.241
Li: 0.633 0.633 0.759
Zn: 0.273 0.273 0.578
Zn: 0.727 0.727 0.422
Hg: 0.043 0.043 0.322
Hg: 0.318 0.318 0.906
Hg: 0.682 0.682 0.094
Hg: 0.957 0.957 0.678

=====

No. 7
Density functional theory data (PBE-GGA) for a relaxed structure of LiZn2Hg.

Size of the total moment   0.000 μB/atom
Energy of formation from the pure elements   -0.50 eV/f.u.

Cell lengths 3.957, 3.957, 4.297 Å; angles 90.00, 90.00, 90.00 degrees
Fractional positions:
Li: 0.000 0.000 0.000
Zn: 0.000 0.500 0.500
Zn: 0.500 0.000 0.500
Hg: 0.500 0.500 0.000

=====

No. 8
Density functional theory data (PBE-GGA) for a relaxed structure of LiZn2Hg.

Size of the total moment   0.000 μB/atom
Energy of formation from the pure elements   0.17 eV/f.u.

Cell lengths 9.718, 9.718, 9.718 Å; angles 17.70, 17.70, 17.70 degrees
Fractional positions:
Li: 0.000 0.000 0.000
Zn: 0.259 0.259 0.259
Zn: 0.741 0.741 0.741
Hg: 0.500 0.500 0.500